1.
{
  "formula": "YMg2HgH",
  "functional": "PBE-GGA",
  "state": "optimized geometry",
  "lattice_angstrom": [[4.635, 0.000, 0.000], [0.000, 4.635, 0.000], [0.000, 0.000, 4.406]],
  "species": ["Y", "H", "Mg", "Mg", "Hg"],
  "frac_coords": [[0.000, 0.000, 0.500], [0.000, 0.000, 0.000], [0.000, 0.500, 0.000], [0.500, 0.000, 0.000], [0.500, 0.500, 0.500]],
  "crystal_system": "tetragonal",
  "dos_at_fermi_per_ev_atom": 0.688,
  "magnetic_moment_mub_per_fu": 0.00,
  "energy_ev_per_atom": -2.939
}

2.
{
  "formula": "MgHgPb",
  "functional": "PBE-GGA",
  "state": "optimized geometry",
  "lattice_angstrom": [[3.355, 0.000, 0.000], [0.000, 3.355, 0.000], [0.000, 0.000, 14.339]],
  "species": ["Mg", "Mg", "Hg", "Hg", "Pb", "Pb"],
  "frac_coords": [[0.889, 0.111, 0.659], [0.889, 0.111, 0.341], [0.388, 0.612, 0.212], [0.388, 0.612, 0.788], [0.389, 0.611, 0.000], [0.389, 0.611, 0.500]],
  "crystal_system": "tetragonal",
  "dos_at_fermi_per_ev_atom": 0.442,
  "magnetic_moment_mub_per_fu": 0.00,
  "energy_ev_per_atom": -1.905,
  "delta_e_f_ev_per_atom": -0.04
}

3.
{
  "formula": "Nd13Sc3",
  "functional": "PBE-GGA",
  "state": "optimized geometry",
  "lattice_angstrom": [[-1.079, 4.224, -5.725], [-6.990, -1.707, 0.084], [-1.852, 7.886, 6.168]],
  "species": ["Nd", "Nd", "Nd", "Nd", "Nd", "Nd", "Nd", "Nd", "Nd", "Nd", "Nd", "Nd", "Nd", "Sc", "Sc", "Sc"],
  "frac_coords": [[0.997, 0.496, 0.755], [0.503, 0.497, 0.753], [0.504, 0.003, 0.755], [0.242, 0.244, 0.000], [0.756, 0.758, 0.000], [0.244, 0.756, 0.000], [0.997, 0.496, 0.245], [0.503, 0.497, 0.247], [0.504, 0.003, 0.245], [0.756, 0.244, 0.500], [0.244, 0.244, 0.500], [0.756, 0.756, 0.500], [0.245, 0.755, 0.500], [0.996, 0.004, 0.754], [0.758, 0.242, 0.000], [0.996, 0.004, 0.246]],
  "crystal_system": "orthorhombic",
  "dos_at_fermi_per_ev_atom": 1.362,
  "magnetic_moment_mub_per_fu": 0.00,
  "energy_ev_per_atom": -5.023,
  "delta_e_f_ev_per_atom": 0.04
}

4.
{
  "formula": "LiSn5Au3",
  "functional": "PBE-GGA",
  "state": "optimized geometry",
  "lattice_angstrom": [[-1.402, -1.889, 7.204], [6.581, -1.560, 3.419], [2.485, 7.660, 5.907]],
  "species": ["Li", "Li", "Sn", "Sn", "Sn", "Sn", "Sn", "Sn", "Sn", "Sn", "Sn", "Sn", "Au", "Au", "Au", "Au", "Au", "Au"],
  "frac_coords": [[0.103, 0.103, 0.697], [0.897, 0.897, 0.303], [0.978, 0.392, 0.397], [0.303, 0.697, 0.000], [0.775, 0.775, 0.020], [0.428, 0.428, 0.374], [0.572, 0.572, 0.626], [0.225, 0.225, 0.980], [0.392, 0.978, 0.397], [0.697, 0.303, 0.000], [0.022, 0.608, 0.603], [0.608, 0.022, 0.603], [0.677, 0.677, 0.823], [0.668, 0.668, 0.311], [0.000, 0.000, 0.000], [0.000, 0.000, 0.500], [0.323, 0.323, 0.177], [0.332, 0.332, 0.689]],
  "crystal_system": "monoclinic",
  "dos_at_fermi_per_ev_atom": 0.373,
  "magnetic_moment_mub_per_fu": 0.00,
  "energy_ev_per_atom": -3.606,
  "delta_e_f_ev_per_atom": -0.08
}

5.
{
  "formula": "KGa2F8",
  "functional": "PBE-GGA",
  "state": "optimized geometry",
  "lattice_angstrom": [[-0.847, 2.164, 3.099], [0.180, -5.031, 3.996], [5.294, -1.825, 3.154]],
  "species": ["K", "Ga", "Ga", "F", "F", "F", "F", "F", "F", "F", "F"],
  "frac_coords": [[0.000, 0.000, 0.000], [0.531, 0.695, 0.695], [0.469, 0.305, 0.305], [0.500, 0.350, 0.947], [0.500, 0.053, 0.650], [0.019, 0.724, 0.724], [0.981, 0.276, 0.276], [0.500, 0.947, 0.350], [0.500, 0.650, 0.053], [0.750, 0.509, 0.509], [0.250, 0.491, 0.491]],
  "crystal_system": "monoclinic",
  "dos_at_fermi_per_ev_atom": 0.134,
  "magnetic_moment_mub_per_fu": 0.00,
  "e_form_raw_kcal_per_mol_atoms": -53.5,
  "energy_ev_per_atom": -4.331
}

6.
{
  "formula": "LiCo2BAs",
  "functional": "PBE-GGA",
  "state": "optimized geometry",
  "lattice_angstrom": [[-0.209, -0.676, 3.520], [-3.488, -0.775, -0.356], [1.059, -4.408, -0.783]],
  "species": ["Li", "Co", "Co", "B", "As"],
  "frac_coords": [[0.500, 0.500, 0.488], [0.500, 0.000, 0.050], [0.000, 0.500, 0.050], [0.000, 0.000, 0.259], [0.000, 0.000, 0.720]],
  "crystal_system": "tetragonal",
  "dos_at_fermi_per_ev_atom": 0.784,
  "e_above_lowest_polymorph_mev_per_atom": 203.2,
  "magnetic_moment_mub_per_fu": 0.46,
  "energy_ev_per_atom": -5.577,
  "delta_e_f_ev_per_atom": -0.09
}